1.
Computed, not measured: GaAs3Ir after structural relaxation at the PBE-GGA level of DFT.

```
5
Lattice="4.907 0.000 0.000 0.000 4.907 0.000 0.000 0.000 4.907" Properties=species:S:1:pos:R:3 pbc="T T T"
As 2.453 0.000 0.000
Ir 0.000 0.000 0.000
As 0.000 2.453 0.000
Ga 2.453 2.453 2.453
As 0.000 0.000 2.453
```

ΔE_f: 590 meV per atom
crystal system: cubic
uncorrected energy: -4.577 eV/atom
density of states at the Fermi level: 5.54 states/eV/f.u.
energy above the lowest structure with this stoichiometry: 0.0000 eV/atom

***

2.
Computed, not measured: AcMg2Hg after structural relaxation at the PBE-GGA level of DFT.

```
4
Lattice="5.341 0.000 0.000 2.671 4.626 0.000 2.671 1.542 4.361" Properties=species:S:1:pos:R:3 pbc="T T T"
Mg 2.671 1.542 1.090
Hg 5.341 3.084 2.181
Mg 8.012 4.626 3.271
Ac 0.000 0.000 0.000
```

ΔE_f: -104 meV per atom
crystal system: cubic
uncorrected energy: -2.003 eV/atom
density of states at the Fermi level: 1.77 states/eV/f.u.
energy above the lowest structure with this stoichiometry: 0.1672 eV/atom

***

3.
Computed, not measured: Ca3AgRh after structural relaxation at the PBE-GGA level of DFT.

```
10
Lattice="3.568 0.000 -0.001 0.001 9.328 0.254 0.002 3.481 8.655" Properties=species:S:1:pos:R:3 pbc="T T T"
Ag 1.298 9.073 6.636
Ca 3.080 8.680 3.996
Rh 1.300 4.410 6.509
Ca 1.296 0.346 0.566
Ca 3.084 6.461 7.186
Ag 3.081 2.667 2.184
Ca 3.083 2.358 5.831
Rh 1.295 7.333 2.308
Ca 1.298 4.992 3.797
Ca 3.079 5.983 0.620
```

ΔE_f: -217 meV per atom
crystal system: orthorhombic
uncorrected energy: -3.459 eV/atom
density of states at the Fermi level: 2.40 states/eV/f.u.
energy above the lowest structure with this stoichiometry: 0.1194 eV/atom

***

Which value of uncorrected energy does entry 3 give? -3.459 eV/atom